Material: KSi
Method: DFT, PBEsol
State: relaxed

Output
formation energy (no corrections) = 1.04 eV per formula unit
total energy = -0.1073 Ha/atom

Lattice parameters (Å, degrees): 5.222 5.222 7.590 90.00 90.00 90.00
Space group I4_1/amd (No. 141, origin choice 2)
Asymmetric unit:
K1 0.000 0.250 0.375 x4
Si1 0.000 0.250 0.875 x4

---

Material: Co4RePt
Method: DFT, PBEsol
State: relaxed

Output
DFT formation energy = 0.047 eV per atom
total energy = -0.3121 Ha/atom

Lattice parameters (Å, degrees): 6.480 6.480 6.480 90.00 90.00 90.00
Space group F-43m (No. 216)
Asymmetric unit:
Co1 0.125 0.125 0.125 x16
Re1 0.250 0.250 0.750 x4
Pt1 0.000 0.000 0.500 x4

---

Material: CrGa2PtAu
Method: DFT, PBEsol
State: relaxed

Output
DFT formation energy = 0.977 eV per atom
total energy = -0.1685 Ha/atom

Lattice parameters (Å, degrees): 4.517 4.517 4.727 90.00 90.00 90.00
Space group P4/mmm (No. 123)
Asymmetric unit:
Cr1 0.000 0.000 0.000 x1
Ga1 0.000 0.500 0.000 x2
Pt1 0.500 0.500 0.500 x1
Au1 0.000 0.000 0.500 x1

---

Material: ReB2Mo2
Method: DFT, PBEsol
State: relaxed

Output
DFT formation energy = 0.379 eV per atom
total energy = -0.3602 Ha/atom

Lattice parameters (Å, degrees): 3.535 3.535 9.398 90.00 90.00 90.00
Space group I4/mmm (No. 139)
Asymmetric unit:
Re1 0.000 0.000 0.000 x2
B1 0.000 0.000 0.413 x4
Mo1 0.000 0.500 0.250 x4

---

Material: Ta5Mo3
Method: DFT, PBEsol
State: relaxed

Output
DFT formation energy = -0.070 eV per atom
total energy = -0.4530 Ha/atom

Lattice parameters (Å, degrees): 5.610 17.972 2.818 90.00 110.42 90.00
Space group C2 (No. 5)
Asymmetric unit:
Ta1 0.000 0.000 0.000 x2
Ta2 0.000 0.242 0.000 x2
Ta3 0.000 0.742 0.000 x2
Ta4 0.248 0.372 0.490 x4
Mo1 0.000 0.499 0.000 x2
Mo2 0.248 0.619 0.495 x4

---

Material: Mg3Mo
Method: DFT, PBEsol
State: relaxed

Output
DFT formation energy = 0.502 eV per atom
total energy = -0.1370 Ha/atom

Lattice parameters (Å, degrees): 6.701 6.701 6.701 90.00 90.00 90.00
Space group Fm-3m (No. 225)
Asymmetric unit:
Mg1 0.000 0.000 0.000 x4
Mg2 0.250 0.250 0.250 x8
Mo1 0.000 0.000 0.500 x4

---

Material: Sc2HW
Method: DFT, PBEsol
State: relaxed

Output
total energy = -0.2670 Ha/atom

Lattice parameters (Å, degrees): 2.9257 2.9257 23.9441 90.00 90.00 120.00
Space group R-3m (No. 166, hexagonal axes)
Asymmetric unit:
Sc1 0.0000 0.0000 0.1112 x6
H1 0.0000 0.0000 0.5000 x3
W1 0.0000 0.0000 0.0000 x3

---

Material: LaHg3Pd
Method: DFT, PBEsol
State: relaxed

Output
DFT formation energy = 0.980 eV per atom
total energy = -0.0596 Ha/atom

Lattice parameters (Å, degrees): 5.755 5.755 5.755 90.00 90.00 90.00
Space group Pm-3m (No. 221)
Asymmetric unit:
La1 0.000 0.000 0.000 x1
Hg1 0.000 0.000 0.500 x3
Pd1 0.500 0.500 0.500 x1

---

Number 1: magnetization 0.0 μB per formula unit. Number 2: magnetization 1.3 μB per formula unit. Number 3: magnetization 2.6 μB per formula unit. Number 4: magnetization 0.0 μB per formula unit. Number 5: magnetization 0.0 μB per formula unit. Number 6: magnetization 2.1 μB per formula unit. Number 7: magnetization 0.0 μB per formula unit. Number 8: magnetization 0.0 μB per formula unit.